# Ce2Mg3In3 | Alexandria | PBE | optimized geometry
# formation energy from the elements = -0.245 eV per atom
# total moment = 1.8 μB per formula unit
data_Ce2Mg3In3
_symmetry_space_group_name_H-M 'P m m m'
_symmetry_Int_Tables_number 47
_symmetry_space_group_name_Hall '-P 2 2'
_cell_length_a 4.6998
_cell_length_b 4.7733
_cell_length_c 9.1885
_cell_angle_alpha 90.00
_cell_angle_beta 90.00
_cell_angle_gamma 90.00
loop_
_atom_site_label
_atom_site_fract_x
_atom_site_fract_y
_atom_site_fract_z
Ce1 0.0000 0.0000 0.2477
Mg1 0.0000 0.5000 0.5000
Mg2 0.5000 0.5000 0.2479
In1 0.0000 0.5000 0.0000
In2 0.5000 0.0000 0.0000
In3 0.5000 0.0000 0.5000



# NaCeMgIn | Alexandria | PBE | optimized geometry
# formation energy from the elements = -0.051 eV per atom
# total moment = 1.2 μB per formula unit
data_NaCeMgIn
_symmetry_space_group_name_H-M 'F -4 3 m'
_symmetry_Int_Tables_number 216
_symmetry_space_group_name_Hall 'F -4 2 3'
_cell_length_a 7.5130
_cell_length_b 7.5130
_cell_length_c 7.5130
_cell_angle_alpha 90.00
_cell_angle_beta 90.00
_cell_angle_gamma 90.00
loop_
_atom_site_label
_atom_site_fract_x
_atom_site_fract_y
_atom_site_fract_z
Na1 0.0000 0.0000 0.0000
Ce1 0.2500 0.2500 0.7500
Mg1 0.2500 0.2500 0.2500
In1 0.0000 0.0000 0.5000



# Ce2NdMgIn4 | Alexandria | PBE | optimized geometry
# formation energy from the elements = -0.344 eV per atom
# total moment = 1.8 μB per formula unit
data_Ce2NdMgIn4
_symmetry_space_group_name_H-M 'R -3 m'
_symmetry_Int_Tables_number 166
_symmetry_space_group_name_Hall '-R 3 2"'
_cell_length_a 5.3207
_cell_length_b 5.3207
_cell_length_c 27.0643
_cell_angle_alpha 90.00
_cell_angle_beta 90.00
_cell_angle_gamma 120.00
loop_
_atom_site_label
_atom_site_fract_x
_atom_site_fract_y
_atom_site_fract_z
Ce1 0.0000 0.0000 0.2427
Nd1 0.0000 0.0000 0.0000
Mg1 0.0000 0.0000 0.5000
In1 0.0000 0.0000 0.1245
In2 0.0000 0.0000 0.3764



# CeNdMgIn | Alexandria | PBE | optimized geometry
# formation energy from the elements = -0.223 eV per atom
# relative energy among the computed polymorphs = 0.00 eV/f.u.
# total moment = 1.1 μB per formula unit
data_CeNdMgIn
_symmetry_space_group_name_H-M 'F -4 3 m'
_symmetry_Int_Tables_number 216
_symmetry_space_group_name_Hall 'F -4 2 3'
_cell_length_a 7.7276
_cell_length_b 7.7276
_cell_length_c 7.7276
_cell_angle_alpha 90.00
_cell_angle_beta 90.00
_cell_angle_gamma 90.00
loop_
_atom_site_label
_atom_site_fract_x
_atom_site_fract_y
_atom_site_fract_z
Ce1 0.0000 0.0000 0.0000
Nd1 0.0000 0.0000 0.5000
Mg1 0.2500 0.2500 0.7500
In1 0.2500 0.2500 0.2500



# CeNdMgIn | Alexandria | PBE | optimized geometry
# formation energy from the elements = -0.218 eV per atom
# relative energy among the computed polymorphs = 0.02 eV/f.u.
# total moment = 0.9 μB per formula unit
data_CeNdMgIn
_symmetry_space_group_name_H-M 'I -4 m 2'
_symmetry_Int_Tables_number 119
_symmetry_space_group_name_Hall 'I -4 -2'
_cell_length_a 4.8586
_cell_length_b 4.8586
_cell_length_c 9.4382
_cell_angle_alpha 90.00
_cell_angle_beta 90.00
_cell_angle_gamma 90.00
loop_
_atom_site_label
_atom_site_fract_x
_atom_site_fract_y
_atom_site_fract_z
Ce1 0.0000 0.0000 0.0000
Nd1 0.0000 0.0000 0.5000
Mg1 0.0000 0.5000 0.2500
In1 0.0000 0.5000 0.7500



# Ce3Mg2In3Os | Alexandria | PBE | optimized geometry
# formation energy from the elements = -0.202 eV per atom
# total moment = 1.5 μB per formula unit
data_Ce3Mg2In3Os
_symmetry_space_group_name_H-M 'P -6 2 m'
_symmetry_Int_Tables_number 189
_symmetry_space_group_name_Hall 'P -6 -2'
_cell_length_a 8.7098
_cell_length_b 8.7098
_cell_length_c 3.4741
_cell_angle_alpha 90.00
_cell_angle_beta 90.00
_cell_angle_gamma 120.00
loop_
_atom_site_label
_atom_site_fract_x
_atom_site_fract_y
_atom_site_fract_z
Ce1 0.0000 0.7456 0.0000
Mg1 0.3333 0.6667 0.0000
In1 0.0000 0.3909 0.5000
Os1 0.0000 0.0000 0.5000



# CeMgInPd | Alexandria | PBE | optimized geometry
# formation energy from the elements = -0.443 eV per atom
# total moment = 0.7 μB per formula unit
data_CeMgInPd
_symmetry_space_group_name_H-M 'F -4 3 m'
_symmetry_Int_Tables_number 216
_symmetry_space_group_name_Hall 'F -4 2 3'
_cell_length_a 7.1240
_cell_length_b 7.1240
_cell_length_c 7.1240
_cell_angle_alpha 90.00
_cell_angle_beta 90.00
_cell_angle_gamma 90.00
loop_
_atom_site_label
_atom_site_fract_x
_atom_site_fract_y
_atom_site_fract_z
Ce1 0.0000 0.0000 0.0000
Mg1 0.0000 0.0000 0.5000
In1 0.2500 0.2500 0.2500
Pd1 0.2500 0.2500 0.7500



# Ce2PmMg2In2 | Alexandria | PBE | optimized geometry
# formation energy from the elements = -0.198 eV per atom
# total moment = 2.2 μB per formula unit
data_Ce2PmMg2In2
_symmetry_space_group_name_H-M 'R -3 m'
_symmetry_Int_Tables_number 166
_symmetry_space_group_name_Hall '-R 3 2"'
_cell_length_a 4.8605
_cell_length_b 4.8605
_cell_length_c 27.2144
_cell_angle_alpha 90.00
_cell_angle_beta 90.00
_cell_angle_gamma 120.00
loop_
_atom_site_label
_atom_site_fract_x
_atom_site_fract_y
_atom_site_fract_z
Ce1 0.0000 0.0000 0.1442
Pm1 0.0000 0.0000 0.0000
Mg1 0.0000 0.0000 0.4106
In1 0.0000 0.0000 0.2672